No. 1
# Ba2Ta2Sn | Alexandria via LeMat-Bulk | PBE | relaxed
data_Ba2Ta2Sn
_chemical_formula_sum 'Ba4 Ta4 Sn2'
_cell_length_a 3.786
_cell_length_b 3.786
_cell_length_c 23.176
_cell_angle_alpha 90.00
_cell_angle_beta 90.00
_cell_angle_gamma 90.00
_space_group_name_H-M_alt 'I 4/m m m'
_space_group_IT_number 139
_space_group_name_Hall '-I 4 2'
loop_
_atom_site_label
_atom_site_type_symbol
_atom_site_fract_x
_atom_site_fract_y
_atom_site_fract_z
Ba1 Ba 0.000 0.000 0.105
Ta1 Ta 0.000 0.500 0.250
Sn1 Sn 0.000 0.000 0.500
# Offset from the most stable computed form in meV per atom: 0
# ΔE_f in eV per formula unit: 2.2
# Total magnetization in μB per atom: 0.00
# N(E_F) in states/eV/cell: 8.91
# Electronic total energy in eV/atom: -5.8665

***

No. 2
# Np2Si4Tc3 | Alexandria via LeMat-Bulk | PBE | relaxed
data_Np2Si4Tc3
_chemical_formula_sum 'Np4 Si8 Tc6'
_cell_length_a 6.757
_cell_length_b 8.047
_cell_length_c 5.647
_cell_angle_alpha 90.00
_cell_angle_beta 104.19
_cell_angle_gamma 90.00
_space_group_name_H-M_alt 'P 1 21/c 1'
_space_group_IT_number 14
_space_group_name_Hall '-P 2ybc'
loop_
_atom_site_label
_atom_site_type_symbol
_atom_site_fract_x
_atom_site_fract_y
_atom_site_fract_z
Np1 Np 0.245 0.056 0.074
Si1 Si 0.079 0.749 0.275
Si2 Si 0.372 0.097 0.617
Tc1 Tc 0.000 0.000 0.500
Tc2 Tc 0.389 0.706 0.116
# Offset from the most stable computed form in meV per atom: 0
# Formation energy from raw total energies in eV per formula unit: -4.18
# Total magnetization in μB per atom: 0.73
# N(E_F) in states/eV/cell: 29.34
# Electronic total energy in eV/atom: -9.2058

***

No. 3
# GaTePbO6 | Alexandria via LeMat-Bulk | PBE | relaxed
data_GaTePbO6
_chemical_formula_sum 'Ga2 Te2 Pb2 O12'
_cell_length_a 5.2549
_cell_length_b 5.2549
_cell_length_c 10.0160
_cell_angle_alpha 90.00
_cell_angle_beta 90.00
_cell_angle_gamma 120.00
_space_group_name_H-M_alt 'P -3 1 c'
_space_group_IT_number 163
_space_group_name_Hall '-P 3 2c'
loop_
_atom_site_label
_atom_site_type_symbol
_atom_site_fract_x
_atom_site_fract_y
_atom_site_fract_z
Ga1 Ga 0.3333 0.6667 0.2500
Te1 Te 0.3333 0.6667 0.7500
Pb1 Pb 0.0000 0.0000 0.0000
O1 O 0.0067 0.3741 0.6420
# Formation energy from raw total energies in eV per formula unit: -11.08
# Total magnetization in μB per atom: 0.00
# N(E_F) in states/eV/cell: 5.51
# Electronic total energy in eV/atom: -5.6337